[1]
Compound: NaSrAc2Tl4
Source: Alexandria via LeMat-Bulk
Functional: PBE-GGA
Structure: optimized geometry

Unit cell a=9.990 b=9.990 c=9.990 alpha=33.34 beta=33.34 gamma=33.34
Element x y z (fractional)
Na (0.000, 0.000, 0.000)
Sr (0.500, 0.500, 0.500)
Ac (0.253, 0.253, 0.253)
Ac (0.747, 0.747, 0.747)
Tl (0.123, 0.123, 0.123)
Tl (0.374, 0.374, 0.374)
Tl (0.626, 0.626, 0.626)
Tl (0.877, 0.877, 0.877)

Summary:
- E_tot: -2.920 eV per atom
- Total moment: 0.00 μB/f.u.

---

[2]
Compound: Y2Tl2As
Source: Alexandria via LeMat-Bulk
Functional: PBE-GGA
Structure: optimized geometry

Unit cell a=7.753 b=7.753 c=4.504 alpha=90.00 beta=90.00 gamma=90.00
Element x y z (fractional)
Y (0.167, 0.333, 0.000)
Y (0.333, 0.833, 0.000)
Y (0.667, 0.167, 0.000)
Y (0.833, 0.667, 0.000)
Tl (0.138, 0.638, 0.500)
Tl (0.362, 0.138, 0.500)
Tl (0.638, 0.862, 0.500)
Tl (0.862, 0.362, 0.500)
As (0.000, 0.000, 0.500)
As (0.500, 0.500, 0.500)

Summary:
- Offset from the most stable computed form: 226 meV per atom
- E_tot: -4.775 eV per atom
- Total moment: 0.00 μB/f.u.

---

[3]
Compound: ReCS2Cl
Source: Alexandria via LeMat-Bulk
Functional: PBE-GGA
Structure: optimized geometry

Unit cell a=4.027 b=4.027 c=4.048 alpha=90.00 beta=90.00 gamma=90.00
Element x y z (fractional)
Re (0.000, 0.000, 0.000)
C (0.500, 0.500, 0.500)
S (0.000, 0.500, 0.500)
S (0.500, 0.000, 0.500)
Cl (0.500, 0.500, 0.000)

Summary:
- Offset from the most stable computed form: 189 meV per atom
- E_tot: -4.643 eV per atom
- Formation energy without anion corrections: 1.7120 eV/atom
- Total moment: 0.00 μB/f.u.

---

[4]
Compound: Bi2Pd3Pb
Source: Alexandria via LeMat-Bulk
Functional: PBE-GGA
Structure: optimized geometry

Unit cell a=7.832 b=7.832 c=5.681 alpha=104.64 beta=104.64 gamma=118.07
Element x y z (fractional)
Bi (0.066, 0.934, 0.750)
Bi (0.222, 0.778, 0.250)
Bi (0.778, 0.222, 0.750)
Bi (0.934, 0.066, 0.250)
Pd (0.000, 0.500, 0.500)
Pd (0.203, 0.392, 0.125)
Pd (0.392, 0.203, 0.625)
Pd (0.500, 0.000, 0.000)
Pd (0.608, 0.797, 0.375)
Pd (0.797, 0.608, 0.875)
Pb (0.411, 0.589, 0.750)
Pb (0.589, 0.411, 0.250)

Summary:
- E_tot: -4.698 eV per atom
- Total moment: 0.00 μB/f.u.

---

[5]
Compound: Ac12Ni6Hg
Source: Alexandria via LeMat-Bulk
Functional: PBE-GGA
Structure: optimized geometry

Unit cell a=9.241 b=9.241 c=9.241 alpha=109.47 beta=109.47 gamma=109.47
Element x y z (fractional)
Ac (0.129, 0.818, 0.311)
Ac (0.182, 0.311, 0.493)
Ac (0.182, 0.689, 0.871)
Ac (0.311, 0.129, 0.818)
Ac (0.311, 0.493, 0.182)
Ac (0.493, 0.182, 0.311)
Ac (0.507, 0.818, 0.689)
Ac (0.689, 0.507, 0.818)
Ac (0.689, 0.871, 0.182)
Ac (0.818, 0.311, 0.129)
Ac (0.818, 0.689, 0.507)
Ac (0.871, 0.182, 0.689)
Ni (0.119, 0.619, 0.500)
Ni (0.381, 0.500, 0.881)
Ni (0.500, 0.119, 0.619)
Ni (0.500, 0.881, 0.381)
Ni (0.619, 0.500, 0.119)
Ni (0.881, 0.381, 0.500)
Hg (0.000, 0.000, 0.000)

Summary:
- E_tot: -4.667 eV per atom
- Total moment: 0.00 μB/f.u.

---

[6]
Compound: Ni5Pt5Rh2
Source: Alexandria via LeMat-Bulk
Functional: PBE-GGA
Structure: optimized geometry

Unit cell a=6.051 b=6.051 c=8.548 alpha=115.35 beta=115.35 gamma=35.93
Element x y z (fractional)
Ni (0.000, 0.000, 0.000)
Ni (0.084, 0.084, 0.753)
Ni (0.167, 0.167, 0.499)
Ni (0.833, 0.833, 0.501)
Ni (0.916, 0.916, 0.247)
Pt (0.254, 0.254, 0.256)
Pt (0.420, 0.420, 0.751)
Pt (0.500, 0.500, 0.500)
Pt (0.580, 0.580, 0.249)
Pt (0.746, 0.746, 0.744)
Rh (0.334, 0.334, 0.003)
Rh (0.666, 0.666, 0.997)

Summary:
- E_tot: -6.204 eV per atom
- Total moment: 6.74 μB/f.u.

---

[7]
Compound: KSiN2
Source: Alexandria via LeMat-Bulk
Functional: PBE-GGA
Structure: optimized geometry

Unit cell a=3.987 b=3.987 c=19.937 alpha=90.00 beta=90.00 gamma=120.00
Element x y z (fractional)
K (0.000, 0.000, 0.000)
K (0.333, 0.667, 0.667)
K (0.667, 0.333, 0.333)
Si (0.000, 0.000, 0.500)
Si (0.333, 0.667, 0.167)
Si (0.667, 0.333, 0.833)
N (0.000, 0.000, 0.419)
N (0.000, 0.000, 0.581)
N (0.333, 0.667, 0.085)
N (0.333, 0.667, 0.248)
N (0.667, 0.333, 0.752)
N (0.667, 0.333, 0.915)

Summary:
- E_tot: -5.212 eV per atom
- Formation energy without anion corrections: 0.5812 eV/atom
- Total moment: 1.00 μB/f.u.

---

[8]
Compound: Cu3Te2O8
Source: Alexandria via LeMat-Bulk
Functional: PBE-GGA
Structure: optimized geometry

Unit cell a=6.505 b=6.505 c=5.579 alpha=101.80 beta=101.80 gamma=51.74
Element x y z (fractional)
Cu (0.000, 0.000, 0.000)
Cu (0.249, 0.751, 0.500)
Cu (0.751, 0.249, 0.500)
Te (0.307, 0.307, 0.837)
Te (0.693, 0.693, 0.163)
O (0.066, 0.066, 0.361)
O (0.125, 0.628, 0.041)
O (0.372, 0.875, 0.959)
O (0.413, 0.413, 0.601)
O (0.587, 0.587, 0.399)
O (0.628, 0.125, 0.041)
O (0.875, 0.372, 0.959)
O (0.934, 0.934, 0.639)

Summary:
- E_tot: -5.154 eV per atom
- Formation energy without anion corrections: -0.6740 eV/atom
- Total moment: 0.98 μB/f.u.

---

[9]
Compound: NdSm6Y2Er3
Source: Alexandria via LeMat-Bulk
Functional: PBE-GGA
Structure: optimized geometry

Unit cell a=6.230 b=6.230 c=11.865 alpha=95.01 beta=95.01 gamma=119.98
Element x y z (fractional)
Nd (0.000, 0.000, 0.000)
Sm (0.085, 0.418, 0.253)
Sm (0.249, 0.249, 0.747)
Sm (0.418, 0.085, 0.253)
Sm (0.582, 0.915, 0.747)
Sm (0.751, 0.751, 0.253)
Sm (0.915, 0.582, 0.747)
Y (0.333, 0.667, 0.000)
Y (0.667, 0.333, 0.000)
Er (0.167, 0.833, 0.500)
Er (0.500, 0.500, 0.500)
Er (0.833, 0.167, 0.500)

Summary:
- E_tot: -4.959 eV per atom
- Total moment: 0.00 μB/f.u.

---

[10]
Compound: HoThTl2
Source: Alexandria via LeMat-Bulk
Functional: PBE-GGA
Structure: optimized geometry

Unit cell a=3.605 b=3.605 c=31.387 alpha=90.00 beta=90.00 gamma=120.00
Element x y z (fractional)
Ho (0.000, 0.000, 0.000)
Ho (0.333, 0.667, 0.667)
Ho (0.667, 0.333, 0.333)
Th (0.000, 0.000, 0.500)
Th (0.333, 0.667, 0.167)
Th (0.667, 0.333, 0.833)
Tl (0.000, 0.000, 0.254)
Tl (0.000, 0.000, 0.746)
Tl (0.333, 0.667, 0.413)
Tl (0.333, 0.667, 0.921)
Tl (0.667, 0.333, 0.079)
Tl (0.667, 0.333, 0.587)

Summary:
- E_tot: -4.323 eV per atom
- Total moment: 0.00 μB/f.u.

---

[11]
Compound: LaCo2GeN
Source: Alexandria via LeMat-Bulk
Functional: PBE-GGA
Structure: optimized geometry

Unit cell a=5.846 b=5.846 c=6.942 alpha=90.00 beta=90.00 gamma=141.73
Element x y z (fractional)
La (0.049, 0.951, 0.750)
La (0.951, 0.049, 0.250)
Co (0.340, 0.660, 0.555)
Co (0.340, 0.660, 0.945)
Co (0.660, 0.340, 0.055)
Co (0.660, 0.340, 0.445)
Ge (0.227, 0.773, 0.250)
Ge (0.773, 0.227, 0.750)
N (0.500, 0.500, 0.000)
N (0.500, 0.500, 0.500)

Summary:
- E_tot: -7.074 eV per atom
- Formation energy without anion corrections: -0.6579 eV/atom
- Total moment: 0.90 μB/f.u.

---

[12]
Compound: Sc3SbSe3
Source: Alexandria via LeMat-Bulk
Functional: PBE-GGA
Structure: optimized geometry

Unit cell a=8.151 b=8.151 c=8.151 alpha=57.32 beta=57.32 gamma=57.32
Element x y z (fractional)
Sc (0.014, 0.790, 0.423)
Sc (0.210, 0.577, 0.986)
Sc (0.423, 0.014, 0.790)
Sc (0.577, 0.986, 0.210)
Sc (0.790, 0.423, 0.014)
Sc (0.986, 0.210, 0.577)
Sb (0.167, 0.167, 0.167)
Sb (0.833, 0.833, 0.833)
Se (0.132, 0.371, 0.667)
Se (0.333, 0.868, 0.629)
Se (0.371, 0.667, 0.132)
Se (0.629, 0.333, 0.868)
Se (0.667, 0.132, 0.371)
Se (0.868, 0.629, 0.333)

Summary:
- E_tot: -6.104 eV per atom
- Formation energy without anion corrections: -1.3086 eV/atom
- Total moment: 0.00 μB/f.u.

---

[13]
Compound: SrLiPmI6
Source: Alexandria via LeMat-Bulk
Functional: PBE-GGA
Structure: optimized geometry

Unit cell a=7.809 b=7.809 c=14.479 alpha=90.00 beta=90.00 gamma=120.00
Element x y z (fractional)
Sr (0.000, 0.000, 0.000)
Sr (0.000, 0.000, 0.500)
Li (0.333, 0.667, 0.250)
Li (0.667, 0.333, 0.750)
Pm (0.333, 0.667, 0.750)
Pm (0.667, 0.333, 0.250)
I (0.008, 0.356, 0.129)
I (0.008, 0.651, 0.371)
I (0.349, 0.356, 0.371)
I (0.349, 0.992, 0.129)
I (0.356, 0.008, 0.629)
I (0.356, 0.349, 0.871)
I (0.644, 0.651, 0.129)
I (0.644, 0.992, 0.371)
I (0.651, 0.008, 0.871)
I (0.651, 0.644, 0.629)
I (0.992, 0.349, 0.629)
I (0.992, 0.644, 0.871)

Summary:
- E_tot: -3.391 eV per atom
- Formation energy without anion corrections: -1.4300 eV/atom
- Total moment: 0.00 μB/f.u.

---

[14]
Compound: Sc2Zn2Ga
Source: Alexandria via LeMat-Bulk
Functional: PBE-GGA
Structure: optimized geometry

Unit cell a=7.553 b=7.553 c=3.517 alpha=90.00 beta=90.00 gamma=90.00
Element x y z (fractional)
Sc (0.159, 0.341, 0.000)
Sc (0.341, 0.841, 0.000)
Sc (0.659, 0.159, 0.000)
Sc (0.841, 0.659, 0.000)
Zn (0.138, 0.638, 0.500)
Zn (0.362, 0.138, 0.500)
Zn (0.638, 0.862, 0.500)
Zn (0.862, 0.362, 0.500)
Ga (0.000, 0.000, 0.000)
Ga (0.500, 0.500, 0.000)

Summary:
- E_tot: -3.785 eV per atom
- Total moment: 0.00 μB/f.u.

---

[15]
Compound: Tl4SnCl5
Source: Alexandria via LeMat-Bulk
Functional: PBE-GGA
Structure: optimized geometry

Unit cell a=7.815 b=7.815 c=7.815 alpha=100.26 beta=100.26 gamma=130.08
Element x y z (fractional)
Tl (0.089, 0.295, 0.383)
Tl (0.295, 0.911, 0.206)
Tl (0.705, 0.089, 0.794)
Tl (0.911, 0.705, 0.617)
Sn (0.454, 0.454, 0.000)
Cl (0.222, 0.594, 0.825)
Cl (0.397, 0.222, 0.628)
Cl (0.594, 0.769, 0.372)
Cl (0.769, 0.397, 0.175)
Cl (0.887, 0.887, 0.000)

Summary:
- E_tot: -3.109 eV per atom
- Formation energy without anion corrections: -0.8384 eV/atom
- Total moment: 0.00 μB/f.u.

---

[16]
Compound: CaPmPd6
Source: Alexandria via LeMat-Bulk
Functional: PBE-GGA
Structure: optimized geometry

Unit cell a=5.315 b=5.315 c=5.315 alpha=90.00 beta=90.00 gamma=90.00
Element x y z (fractional)
Ca (0.000, 0.000, 0.000)
Pm (0.500, 0.500, 0.500)
Pd (0.000, 0.249, 0.500)
Pd (0.000, 0.751, 0.500)
Pd (0.249, 0.500, 0.000)
Pd (0.500, 0.000, 0.249)
Pd (0.500, 0.000, 0.751)
Pd (0.751, 0.500, 0.000)

Summary:
- Offset from the most stable computed form: 173 meV per atom
- E_tot: -5.188 eV per atom
- Total moment: 0.00 μB/f.u.

---

[17]
Compound: Ag2Pd2Au
Source: Alexandria via LeMat-Bulk
Functional: PBE-GGA
Structure: optimized geometry

Unit cell a=3.734 b=3.734 c=13.486 alpha=90.00 beta=90.00 gamma=90.00
Element x y z (fractional)
Ag (0.000, 0.500, 0.250)
Ag (0.000, 0.500, 0.750)
Ag (0.500, 0.000, 0.250)
Ag (0.500, 0.000, 0.750)
Pd (0.000, 0.000, 0.097)
Pd (0.000, 0.000, 0.903)
Pd (0.500, 0.500, 0.403)
Pd (0.500, 0.500, 0.597)
Au (0.000, 0.000, 0.500)
Au (0.500, 0.500, 0.000)

Summary:
- Offset from the most stable computed form: 288 meV per atom
- E_tot: -3.585 eV per atom
- Total moment: 0.00 μB/f.u.

---

[18]
Compound: BeInSb
Source: Alexandria via LeMat-Bulk
Functional: PBE-GGA
Structure: optimized geometry

Unit cell a=4.002 b=5.419 c=12.330 alpha=90.00 beta=90.00 gamma=90.00
Element x y z (fractional)
Be (0.000, 0.000, 0.000)
Be (0.000, 0.500, 0.500)
Be (0.500, 0.000, 0.500)
Be (0.500, 0.500, 0.000)
In (0.000, 0.000, 0.350)
In (0.000, 0.500, 0.850)
In (0.500, 0.000, 0.850)
In (0.500, 0.500, 0.350)
Sb (0.000, 0.000, 0.620)
Sb (0.000, 0.500, 0.120)
Sb (0.500, 0.000, 0.120)
Sb (0.500, 0.500, 0.620)

Summary:
- Offset from the most stable computed form: 210 meV per atom
- E_tot: -3.125 eV per atom
- Formation energy without anion corrections: 0.4042 eV/atom
- Total moment: 0.00 μB/f.u.

---

[19]
Compound: Zn2GaAg7Sn2
Source: Alexandria via LeMat-Bulk
Functional: PBE-GGA
Structure: optimized geometry

Unit cell a=4.200 b=4.200 c=13.029 alpha=90.31 beta=90.31 gamma=92.27
Element x y z (fractional)
Zn (0.000, 0.000, 0.187)
Zn (0.000, 0.000, 0.813)
Ga (0.500, 0.500, 0.500)
Ag (0.000, 0.000, 0.500)
Ag (0.000, 0.498, 0.343)
Ag (0.000, 0.502, 0.657)
Ag (0.238, 0.238, 0.999)
Ag (0.498, 0.000, 0.343)
Ag (0.502, 0.000, 0.657)
Ag (0.762, 0.762, 0.001)
Sn (0.500, 0.500, 0.182)
Sn (0.500, 0.500, 0.818)

Summary:
- E_tot: -2.745 eV per atom
- Total moment: 0.00 μB/f.u.

---

[20]
Compound: ZnAs2Rh
Source: Alexandria via LeMat-Bulk
Functional: PBE-GGA
Structure: optimized geometry

Unit cell a=2.965 b=2.965 c=7.746 alpha=90.00 beta=90.00 gamma=90.00
Element x y z (fractional)
Zn (0.000, 0.000, 0.000)
As (0.000, 0.000, 0.586)
As (0.500, 0.500, 0.247)
Rh (0.500, 0.500, 0.775)

Summary:
- E_tot: -4.585 eV per atom
- Total moment: 0.00 μB/f.u.

---

[21]
Compound: ReHPd
Source: Alexandria via LeMat-Bulk
Functional: PBE-GGA
Structure: optimized geometry

Unit cell a=5.587 b=2.774 c=9.226 alpha=90.00 beta=90.00 gamma=90.00
Element x y z (fractional)
Re (0.130, 0.250, 0.086)
Re (0.370, 0.750, 0.586)
Re (0.630, 0.250, 0.414)
Re (0.870, 0.750, 0.914)
H (0.108, 0.750, 0.224)
H (0.392, 0.250, 0.724)
H (0.608, 0.750, 0.276)
H (0.892, 0.250, 0.776)
Pd (0.123, 0.250, 0.386)
Pd (0.377, 0.750, 0.886)
Pd (0.623, 0.250, 0.114)
Pd (0.877, 0.750, 0.614)

Summary:
- Offset from the most stable computed form: 56 meV per atom
- E_tot: -6.749 eV per atom
- Total moment: 0.00 μB/f.u.

---

[22]
Compound: MgScHgGe
Source: Alexandria via LeMat-Bulk
Functional: PBE-GGA
Structure: optimized geometry

Unit cell a=6.881 b=6.881 c=6.881 alpha=90.00 beta=90.00 gamma=90.00
Element x y z (fractional)
Mg (0.000, 0.000, 0.000)
Mg (0.000, 0.500, 0.500)
Mg (0.500, 0.000, 0.500)
Mg (0.500, 0.500, 0.000)
Sc (0.000, 0.000, 0.500)
Sc (0.000, 0.500, 0.000)
Sc (0.500, 0.000, 0.000)
Sc (0.500, 0.500, 0.500)
Hg (0.250, 0.250, 0.750)
Hg (0.250, 0.750, 0.250)
Hg (0.750, 0.250, 0.250)
Hg (0.750, 0.750, 0.750)
Ge (0.250, 0.250, 0.250)
Ge (0.250, 0.750, 0.750)
Ge (0.750, 0.250, 0.750)
Ge (0.750, 0.750, 0.250)

Summary:
- E_tot: -3.529 eV per atom
- Total moment: 0.00 μB/f.u.

---

[23]
Compound: GaTe2H2Pd7
Source: Alexandria via LeMat-Bulk
Functional: PBE-GGA
Structure: optimized geometry

Unit cell a=4.026 b=4.026 c=11.396 alpha=100.18 beta=100.18 gamma=89.97
Element x y z (fractional)
Ga (0.000, 0.000, 0.000)
Te (0.192, 0.192, 0.385)
Te (0.808, 0.808, 0.615)
H (0.411, 0.411, 0.826)
H (0.589, 0.589, 0.174)
Pd (0.088, 0.588, 0.176)
Pd (0.319, 0.319, 0.633)
Pd (0.412, 0.912, 0.824)
Pd (0.500, 0.500, 0.000)
Pd (0.588, 0.088, 0.176)
Pd (0.681, 0.681, 0.367)
Pd (0.912, 0.412, 0.824)

Summary:
- E_tot: -4.660 eV per atom
- Total moment: 0.00 μB/f.u.